This record from the Alexandria database describes an optimized crystal structure of La2Sm3Ho6Sc. The functional is PBE.

```
La2Sm3Ho6Sc
1.0
3.088 -5.349 0.000
3.088 5.349 0.000
-2.055 0.000 11.617
La Sm Ho Sc
2 3 6 1
Direct
0.166 0.834 0.000
0.834 0.166 0.000
0.000 0.000 0.500
0.333 0.667 0.500
0.667 0.333 0.500
0.087 0.417 0.750
0.253 0.253 0.251
0.417 0.087 0.750
0.583 0.913 0.250
0.747 0.747 0.749
0.913 0.583 0.250
0.500 0.500 0.000
```

Output
- formation energy (eV per atom) = 0.03
- V (Å³/atom) = 31.98
- space-group type = C2/m

---

This record from the Alexandria database describes an optimized crystal structure of La2SmHo5Sc. The functional is PBE.

```
La2SmHo5Sc
1.0
2.801 -9.891 0.000
2.801 9.891 0.000
0.000 0.000 10.505
La Sm Ho Sc
4 2 10 2
Direct
0.114 0.886 0.500
0.116 0.884 0.920
0.884 0.116 0.420
0.886 0.114 0.000
0.412 0.588 0.648
0.588 0.412 0.148
0.016 0.984 0.205
0.277 0.723 0.507
0.296 0.704 0.889
0.376 0.624 0.205
0.483 0.517 0.926
0.517 0.483 0.426
0.624 0.376 0.705
0.704 0.296 0.389
0.723 0.277 0.007
0.984 0.016 0.705
0.198 0.802 0.200
0.802 0.198 0.700
```

Output
- formation energy (eV per atom) = 0.16
- V (Å³/atom) = 32.34
- space-group type = Cmc2_1

---

This record from the Alexandria database describes an optimized crystal structure of La3Sm6Ho2Sc. The functional is PBE.

```
La3Sm6Ho2Sc
1.0
3.128 -5.423 0.000
3.128 5.423 0.000
-2.090 0.000 11.779
La Sm Ho Sc
3 6 2 1
Direct
0.000 0.000 0.000
0.333 0.667 0.000
0.667 0.333 0.000
0.090 0.420 0.259
0.250 0.250 0.741
0.420 0.090 0.259
0.580 0.910 0.741
0.750 0.750 0.259
0.910 0.580 0.741
0.167 0.833 0.500
0.833 0.167 0.500
0.500 0.500 0.500
```

Output
- formation energy (eV per atom) = 0.04
- V (Å³/atom) = 33.30
- space-group type = C2/m

---

> Which value of V does entry 3 give?

33.30 Å³/atom